[1]
A relaxed PrNdEu crystal, computed with PBE.

Properties
* excess energy over the best structure of this formula in the dataset: 0.0 kJ/mol of atoms
* energy relative to the elements: 0.023 eV per atom
* calculated density: 6.46 Mg/m³

```
PrNdEu
1.0
-1.877 1.877 7.978
1.877 -1.877 7.978
1.877 1.877 -7.978
Pr Nd Eu
1 1 1
direct
0.000 0.000 0.000
0.654 0.654 0.000
0.326 0.326 0.000
```


[2]
A relaxed PrNdEu crystal, computed with PBE.

Properties
* excess energy over the best structure of this formula in the dataset: 0.4 kJ/mol of atoms
* energy relative to the elements: 0.027 eV per atom
* calculated density: 6.48 Mg/m³

```
PrNdEu
1.0
3.746 0.000 0.000
-1.873 3.244 0.000
0.000 0.000 9.212
Pr Nd Eu
1 1 1
direct
0.000 0.000 0.000
0.667 0.333 0.317
0.333 0.667 0.657
```


[3]
A relaxed PrNd4Eu crystal, computed with PBE.

Properties
* energy relative to the elements: 0.219 eV per atom
* calculated density: 6.31 Mg/m³

```
PrNd4Eu
1.0
0.000 4.855 4.855
4.855 0.000 4.855
4.855 4.855 0.000
Pr Nd Eu
1 4 1
direct
0.000 0.000 0.000
0.373 0.373 0.373
0.373 0.373 0.881
0.373 0.881 0.373
0.881 0.373 0.373
0.750 0.750 0.750
```


[4]
A relaxed PrNdSmEu crystal, computed with PBE.

Properties
* energy relative to the elements: 0.139 eV per atom
* calculated density: 6.71 Mg/m³

```
PrNdSmEu
1.0
0.000 4.173 4.173
4.173 0.000 4.173
4.173 4.173 0.000
Pr Nd Sm Eu
1 1 1 1
direct
0.000 0.000 0.000
0.750 0.750 0.750
0.500 0.500 0.500
0.250 0.250 0.250
```


[5]
A relaxed SrPrNdEu crystal, computed with PBE.

Properties
* energy relative to the elements: 0.167 eV per atom
* calculated density: 5.39 Mg/m³

```
SrPrNdEu
1.0
0.000 4.325 4.325
4.325 0.000 4.325
4.325 4.325 0.000
Sr Pr Nd Eu
1 1 1 1
direct
0.000 0.000 0.000
0.750 0.750 0.750
0.500 0.500 0.500
0.250 0.250 0.250
```


[6]
A relaxed TbPrNdEu crystal, computed with PBE.

Properties
* energy relative to the elements: 0.133 eV per atom
* calculated density: 6.90 Mg/m³

```
TbPrNdEu
1.0
0.000 4.154 4.154
4.154 0.000 4.154
4.154 4.154 0.000
Tb Pr Nd Eu
1 1 1 1
direct
0.000 0.000 0.000
0.250 0.250 0.250
0.750 0.750 0.750
0.500 0.500 0.500
```


[7]
A relaxed PrNdEuTl crystal, computed with PBE.

Properties
* energy relative to the elements: -0.097 eV per atom
* calculated density: 8.27 Mg/m³

```
PrNdEuTl
1.0
0.000 4.008 4.008
4.008 0.000 4.008
4.008 4.008 0.000
Pr Nd Eu Tl
1 1 1 1
direct
0.000 0.000 0.000
0.500 0.500 0.500
0.250 0.250 0.250
0.750 0.750 0.750
```


[8]
A relaxed PrNdEuZn crystal, computed with PBE.

Properties
* energy relative to the elements: 0.041 eV per atom
* calculated density: 6.94 Mg/m³

```
PrNdEuZn
1.0
0.000 3.917 3.917
3.917 0.000 3.917
3.917 3.917 0.000
Pr Nd Eu Zn
1 1 1 1
direct
0.000 0.000 0.000
0.500 0.500 0.500
0.750 0.750 0.750
0.250 0.250 0.250
```


[9]
A relaxed Nd3EuPt crystal, computed with PBE.

Properties
* energy relative to the elements: -0.318 eV per atom
* calculated density: 6.90 Mg/m³

```
Nd3EuPt
1.0
5.726 0.000 0.000
0.000 5.726 0.000
0.000 0.000 5.726
Nd Eu Pt
3 1 1
direct
0.000 0.000 0.500
0.000 0.500 0.000
0.500 0.000 0.000
0.500 0.500 0.500
0.000 0.000 0.000
```


[10]
A relaxed NdEuPt2 crystal, computed with PBE.

Properties
* excess energy over the best structure of this formula in the dataset: 0.7 kJ/mol of atoms
* energy relative to the elements: -0.996 eV per atom
* calculated density: 12.26 Mg/m³

```
NdEuPt2
1.0
0.000 3.596 3.596
3.596 0.000 3.596
3.596 3.596 0.000
Nd Eu Pt
1 1 2
direct
0.000 0.000 0.000
0.500 0.500 0.500
0.250 0.250 0.250
0.750 0.750 0.750
```


[11]
A relaxed NdEuPt2 crystal, computed with PBE.

Properties
* excess energy over the best structure of this formula in the dataset: 0.0 kJ/mol of atoms
* energy relative to the elements: -1.004 eV per atom
* calculated density: 12.15 Mg/m³

```
NdEuPt2
1.0
3.605 0.000 0.000
0.000 3.605 0.000
0.000 0.000 7.220
Nd Eu Pt
1 1 2
direct
0.000 0.000 0.000
0.000 0.000 0.500
0.500 0.500 0.235
0.500 0.500 0.765
```


[12]
A relaxed NdEu3Pt crystal, computed with PBE.

Properties
* energy relative to the elements: -0.294 eV per atom
* calculated density: 6.98 Mg/m³

```
NdEu3Pt
1.0
5.741 0.000 0.000
0.000 5.741 0.000
0.000 0.000 5.741
Nd Eu Pt
1 3 1
direct
0.000 0.000 0.000
0.000 0.500 0.500
0.500 0.000 0.500
0.500 0.500 0.000
0.500 0.500 0.500
```